1.
# Th4CuC2 PBE optimized geometry
data_Th4CuC2
_chemical_formula_sum 'Th8 Cu2 C4'
_symmetry_space_group_name_H-M 'P 1'
_symmetry_Int_Tables_number 1
_symmetry_space_group_name_Hall 'P 1'
_cell_length_a 6.5138
_cell_length_b 6.5138
_cell_length_c 13.2891
_cell_angle_alpha 90.00
_cell_angle_beta 90.00
_cell_angle_gamma 146.42
loop_
_atom_site_label
_atom_site_fract_x
_atom_site_fract_y
_atom_site_fract_z
Th1 0.0000 0.0000 0.0000
Th2 0.0000 0.0000 0.5000
Th3 0.2725 0.7275 0.6097
Th4 0.2725 0.7275 0.8903
Th5 0.4287 0.5713 0.2500
Th6 0.5713 0.4287 0.7500
Th7 0.7275 0.2725 0.1097
Th8 0.7275 0.2725 0.3903
Cu1 0.1063 0.8937 0.2500
Cu2 0.8937 0.1063 0.7500
C1 0.3602 0.6398 0.0619
C2 0.3602 0.6398 0.4381
C3 0.6398 0.3602 0.5619
C4 0.6398 0.3602 0.9381
# ΔH_f (0 K), kcal/mol of atoms: -4.89



2.
# Nb3InH3 PBE optimized geometry
data_Nb3InH3
_chemical_formula_sum 'Nb6 In2 H6'
_symmetry_space_group_name_H-M 'P 1'
_symmetry_Int_Tables_number 1
_symmetry_space_group_name_Hall 'P 1'
_cell_length_a 5.5166
_cell_length_b 5.5166
_cell_length_c 5.5166
_cell_angle_alpha 90.00
_cell_angle_beta 90.00
_cell_angle_gamma 90.00
loop_
_atom_site_label
_atom_site_fract_x
_atom_site_fract_y
_atom_site_fract_z
Nb1 0.0000 0.2500 0.5000
Nb2 0.0000 0.7500 0.5000
Nb3 0.2500 0.5000 0.0000
Nb4 0.5000 0.0000 0.2500
Nb5 0.5000 0.0000 0.7500
Nb6 0.7500 0.5000 0.0000
In1 0.0000 0.0000 0.0000
In2 0.5000 0.5000 0.5000
H1 0.0000 0.5000 0.2500
H2 0.0000 0.5000 0.7500
H3 0.2500 0.0000 0.5000
H4 0.5000 0.2500 0.0000
H5 0.5000 0.7500 0.0000
H6 0.7500 0.0000 0.5000
# Energy above the most stable polymorph in this dataset, eV/f.u.: 0.000



3.
# Tm8MgTc2 PBE optimized geometry
data_Tm8MgTc2
_chemical_formula_sum 'Tm8 Mg1 Tc2'
_symmetry_space_group_name_H-M 'P 1'
_symmetry_Int_Tables_number 1
_symmetry_space_group_name_Hall 'P 1'
_cell_length_a 7.7883
_cell_length_b 7.7883
_cell_length_c 5.4902
_cell_angle_alpha 97.69
_cell_angle_beta 97.69
_cell_angle_gamma 112.06
loop_
_atom_site_label
_atom_site_fract_x
_atom_site_fract_y
_atom_site_fract_z
Tm1 0.1093 0.1093 0.7971
Tm2 0.1697 0.4366 0.4228
Tm3 0.2497 0.7503 0.0000
Tm4 0.4366 0.1697 0.4228
Tm5 0.5634 0.8303 0.5772
Tm6 0.7503 0.2497 0.0000
Tm7 0.8303 0.5634 0.5772
Tm8 0.8907 0.8907 0.2029
Mg1 0.5000 0.5000 0.0000
Tc1 0.1839 0.8161 0.5000
Tc2 0.8161 0.1839 0.5000
# Energy above the most stable polymorph in this dataset, eV/f.u.: 0.000
# ΔH_f (0 K), kcal/mol of atoms: -1.14



Record-wise Fermi-level density of states values, in states/eV/atom: 0.8992, 0.1865, 0.8341